The following is a DFT calculation (PBE) of crystalline ThGaAg at its relaxed geometry.

Computed properties:
For the total energy, the calculation gives -14.34 eV per formula unit. As for the calculated volume: 137.43 Å³ per cell. For the calculated formation energy, the calculation gives -0.346 eV/atom.

a = 4.748 Å, b = 3.547 Å, c = 8.160 Å
α = 90.00°, β = 90.00°, γ = 90.00°
Space group Pmma (No. 51)
Asymmetric unit:
Th 0.250 0.000 0.240 [2 per cell]
Ga 0.250 0.500 0.919 [2 per cell]
Ag 0.250 0.500 0.588 [2 per cell]

=====

The following is a DFT calculation (PBE) of crystalline Th2Ga3Ag5 at its relaxed geometry.

Computed properties:
For the total energy, the calculation gives -40.23 eV per formula unit. As for the calculated volume: 846.25 Å³ per cell. For the calculated formation energy, the calculation gives -0.205 eV/atom.

a = 10.647 Å, b = 12.784 Å, c = 6.218 Å
α = 90.00°, β = 90.00°, γ = 90.00°
Space group Ibam (No. 72)
Asymmetric unit:
Th 0.236 0.128 0.000 [8 per cell]
Ga 0.000 0.000 0.250 [4 per cell]
Ga 0.146 0.383 0.000 [8 per cell]
Ag 0.000 0.271 0.250 [8 per cell]
Ag 0.000 0.500 0.250 [4 per cell]
Ag 0.121 0.125 0.500 [8 per cell]

=====

The following is a DFT calculation (PBE) of crystalline ThGa4Ag4 at its relaxed geometry.

Computed properties:
For the total energy, the calculation gives -31.92 eV per formula unit. As for the calculated volume: 357.01 Å³ per cell. For the calculated formation energy, the calculation gives -0.110 eV/atom.

a = 6.282 Å, b = 6.282 Å, c = 9.048 Å
α = 90.00°, β = 90.00°, γ = 90.00°
Space group P4_2/nmc (No. 137, origin choice 2)
Asymmetric unit:
Th 0.250 0.750 0.250 [2 per cell]
Ga 0.029 0.250 0.044 [8 per cell]
Ag 0.028 0.250 0.334 [8 per cell]

=====

The following is a DFT calculation (PBE) of crystalline Th2Ga3Ag at its relaxed geometry.

Computed properties:
For the total energy, the calculation gives -29.71 eV per formula unit. As for the calculated volume: 1100.98 Å³ per cell. For the calculated formation energy, the calculation gives -0.490 eV/atom.

a = 8.118 Å, b = 8.856 Å, c = 15.313 Å
α = 90.00°, β = 90.00°, γ = 90.00°
Space group Fmmm (No. 69)
Asymmetric unit:
Th 0.247 0.000 0.000 [8 per cell]
Th 0.250 0.250 0.250 [8 per cell]
Ga 0.000 0.000 0.336 [8 per cell]
Ga 0.000 0.245 0.418 [16 per cell]
Ag 0.000 0.000 0.167 [8 per cell]

=====

The following is a DFT calculation (PBE) of crystalline Th3Ga3Ag at its relaxed geometry.

Computed properties:
For the total energy, the calculation gives -37.39 eV per formula unit. As for the calculated volume: 686.15 Å³ per cell. For the calculated formation energy, the calculation gives -0.457 eV/atom.

a = 11.216 Å, b = 4.485 Å, c = 14.505 Å
α = 90.00°, β = 109.89°, γ = 90.00°
Space group C2/m (No. 12)
Asymmetric unit:
Th 0.027 0.000 0.377 [4 per cell]
Th 0.109 0.000 0.923 [4 per cell]
Th 0.241 0.000 0.223 [4 per cell]
Ga 0.032 0.500 0.229 [4 per cell]
Ga 0.107 0.500 0.074 [4 per cell]
Ga 0.124 0.500 0.547 [4 per cell]
Ag 0.241 0.500 0.399 [4 per cell]

=====

The following is a DFT calculation (PBE) of crystalline ThGaAg at its relaxed geometry.

Computed properties:
For the total energy, the calculation gives -14.35 eV per formula unit. As for the calculated volume: 276.85 Å³ per cell. For the calculated formation energy, the calculation gives -0.350 eV/atom.

a = 4.663 Å, b = 7.381 Å, c = 8.044 Å
α = 90.00°, β = 90.00°, γ = 90.00°
Space group Immm (No. 71)
Asymmetric unit:
Th 0.000 0.241 0.000 [4 per cell]
Ga 0.000 0.000 0.341 [4 per cell]
Ag 0.000 0.500 0.325 [4 per cell]

=====

The following is a DFT calculation (PBE) of crystalline ThGa2Ag2 at its relaxed geometry.

Computed properties:
For the total energy, the calculation gives -20.87 eV per formula unit. As for the calculated volume: 414.94 Å³ per cell. For the calculated formation energy, the calculation gives -0.338 eV/atom.

a = 4.248 Å, b = 4.324 Å, c = 22.590 Å
α = 90.00°, β = 90.00°, γ = 90.00°
Space group Imma (No. 74)
Asymmetric unit:
Th 0.000 0.250 0.083 [4 per cell]
Ga 0.000 0.250 0.527 [4 per cell]
Ga 0.000 0.250 0.637 [4 per cell]
Ag 0.000 0.250 0.296 [4 per cell]
Ag 0.000 0.250 0.795 [4 per cell]

=====

The following is a DFT calculation (PBE) of crystalline Th2Ga4Ag3 at its relaxed geometry.

Computed properties:
For the total energy, the calculation gives -38.36 eV per formula unit. As for the calculated volume: 749.23 Å³ per cell. For the calculated formation energy, the calculation gives -0.317 eV/atom.

a = 5.962 Å, b = 15.780 Å, c = 7.964 Å
α = 90.00°, β = 90.00°, γ = 90.00°
Space group Cmce (No. 64)
Asymmetric unit:
Th 0.000 0.108 0.093 [8 per cell]
Ga 0.000 0.176 0.475 [8 per cell]
Ga 0.250 0.056 0.750 [8 per cell]
Ag 0.000 0.000 0.500 [4 per cell]
Ag 0.250 0.224 0.750 [8 per cell]

=====

The following is a DFT calculation (PBE) of crystalline Th3Ga2Ag4 at its relaxed geometry.

Computed properties:
For the total energy, the calculation gives -42.29 eV per formula unit. As for the calculated volume: 412.92 Å³ per cell. For the calculated formation energy, the calculation gives -0.286 eV/atom.

a = 10.826 Å, b = 4.785 Å, c = 8.985 Å
α = 90.00°, β = 117.49°, γ = 90.00°
Space group C2/m (No. 12)
Asymmetric unit:
Th 0.000 0.000 0.000 [2 per cell]
Th 0.162 0.500 0.670 [4 per cell]
Ga 0.114 0.500 0.280 [4 per cell]
Ag 0.075 0.000 0.404 [4 per cell]
Ag 0.208 0.500 0.047 [4 per cell]

=====

The following is a DFT calculation (PBE) of crystalline Th2GaAg at its relaxed geometry.

Computed properties:
For the total energy, the calculation gives -21.70 eV per formula unit. As for the calculated volume: 207.27 Å³ per cell. For the calculated formation energy, the calculation gives -0.245 eV/atom.

a = 6.341 Å, b = 4.560 Å, c = 7.519 Å
α = 90.00°, β = 107.57°, γ = 90.00°
Space group P2_1/m (No. 11)
Asymmetric unit:
Th 0.165 0.250 0.411 [2 per cell]
Th 0.206 0.250 0.932 [2 per cell]
Ga 0.359 0.750 0.706 [2 per cell]
Ag 0.371 0.750 0.236 [2 per cell]

=====

The following is a DFT calculation (PBE) of crystalline Th2GaAg at its relaxed geometry.

Computed properties:
For the total energy, the calculation gives -21.66 eV per formula unit. As for the calculated volume: 100.90 Å³ per cell. For the calculated formation energy, the calculation gives -0.235 eV/atom.

a = 3.417 Å, b = 3.417 Å, c = 8.643 Å
α = 90.00°, β = 90.00°, γ = 90.00°
Space group P4/mmm (No. 123)
Asymmetric unit:
Th 0.000 0.000 0.244 [2 per cell]
Ga 0.500 0.500 0.000 [1 per cell]
Ag 0.500 0.500 0.500 [1 per cell]

=====

The following is a DFT calculation (PBE) of crystalline ThGaAg at its relaxed geometry.

Computed properties:
For the total energy, the calculation gives -13.84 eV per formula unit. As for the calculated volume: 133.82 Å³ per cell. For the calculated formation energy, the calculation gives -0.181 eV/atom.

a = 3.380 Å, b = 3.380 Å, c = 11.715 Å
α = 90.00°, β = 90.00°, γ = 90.00°
Space group I4mm (No. 107)
Asymmetric unit:
Th 0.000 0.000 0.000 [2 per cell]
Ga 0.000 0.000 0.319 [2 per cell]
Ag 0.000 0.000 0.696 [2 per cell]

=====

The following is a DFT calculation (PBE) of crystalline Th3Ga4Ag4 at its relaxed geometry.

Computed properties:
For the total energy, the calculation gives -49.53 eV per formula unit. As for the calculated volume: 241.54 Å³ per cell. For the calculated formation energy, the calculation gives -0.342 eV/atom.

a = 3.743 Å, b = 4.609 Å, c = 14.309 Å
α = 99.25°, β = 97.49°, γ = 90.02°
Space group P-1 (No. 2)
Asymmetric unit:
Th 0.000 0.000 0.000 [1 per cell]
Th 0.143 0.643 0.286 [2 per cell]
Ga 0.311 0.812 0.623 [2 per cell]
Ga 0.453 0.453 0.906 [2 per cell]
Ag 0.257 0.257 0.515 [2 per cell]
Ag 0.406 0.906 0.812 [2 per cell]

=====

The following is a DFT calculation (PBE) of crystalline Th2Ga2Ag at its relaxed geometry.

Computed properties:
For the total energy, the calculation gives -25.92 eV per formula unit. As for the calculated volume: 479.15 Å³ per cell. For the calculated formation energy, the calculation gives -0.435 eV/atom.

a = 11.011 Å, b = 4.563 Å, c = 10.729 Å
α = 90.00°, β = 117.27°, γ = 90.00°
Space group C2/m (No. 12)
Asymmetric unit:
Th 0.010 0.000 0.326 [4 per cell]
Th 0.183 0.000 0.095 [4 per cell]
Ga 0.018 0.500 0.884 [4 per cell]
Ga 0.134 0.500 0.569 [4 per cell]
Ag 0.226 0.500 0.352 [4 per cell]

=====

The following is a DFT calculation (PBE) of crystalline ThGaAg4 at its relaxed geometry.

Computed properties:
For the total energy, the calculation gives -22.09 eV per formula unit. As for the calculated volume: 497.91 Å³ per cell. For the calculated formation energy, the calculation gives -0.040 eV/atom.

a = 7.926 Å, b = 7.926 Å, c = 7.926 Å
α = 90.00°, β = 90.00°, γ = 90.00°
Space group F-43m (No. 216)
Asymmetric unit:
Th 0.000 0.000 0.000 [4 per cell]
Ga 0.250 0.250 0.750 [4 per cell]
Ag 0.125 0.125 0.375 [16 per cell]

=====

The following is a DFT calculation (PBE) of crystalline ThTlGaAg at its relaxed geometry.

Computed properties:
For the total energy, the calculation gives -16.04 eV per formula unit. As for the calculated volume: 380.66 Å³ per cell. For the calculated formation energy, the calculation gives -0.093 eV/atom.

a = 7.247 Å, b = 7.247 Å, c = 7.247 Å
α = 90.00°, β = 90.00°, γ = 90.00°
Space group F-43m (No. 216)
Asymmetric unit:
Th 0.000 0.000 0.000 [4 per cell]
Tl 0.000 0.000 0.500 [4 per cell]
Ga 0.250 0.250 0.250 [4 per cell]
Ag 0.250 0.250 0.750 [4 per cell]

=====

The following is a DFT calculation (PBE) of crystalline TmThGaAg at its relaxed geometry.

Computed properties:
For the total energy, the calculation gives -19.01 eV per formula unit. As for the calculated volume: 392.85 Å³ per cell. For the calculated formation energy, the calculation gives -0.311 eV/atom.

a = 7.324 Å, b = 7.324 Å, c = 7.324 Å
α = 90.00°, β = 90.00°, γ = 90.00°
Space group F-43m (No. 216)
Asymmetric unit:
Tm 0.000 0.000 0.000 [4 per cell]
Th 0.000 0.000 0.500 [4 per cell]
Ga 0.250 0.250 0.250 [4 per cell]
Ag 0.250 0.250 0.750 [4 per cell]

=====

The following is a DFT calculation (PBE) of crystalline Th2Zn3Ga4Ag at its relaxed geometry.

Computed properties:
For the total energy, the calculation gives -37.61 eV per formula unit. As for the calculated volume: 195.62 Å³ per cell. For the calculated formation energy, the calculation gives -0.399 eV/atom.

a = 4.282 Å, b = 4.282 Å, c = 10.668 Å
α = 90.00°, β = 90.00°, γ = 90.00°
Space group P-4m2 (No. 115)
Asymmetric unit:
Th 0.000 0.500 0.248 [2 per cell]
Zn 0.000 0.500 0.867 [2 per cell]
Zn 0.500 0.500 0.500 [1 per cell]
Ga 0.000 0.000 0.000 [1 per cell]
Ga 0.000 0.500 0.639 [2 per cell]
Ga 0.500 0.500 0.000 [1 per cell]
Ag 0.000 0.000 0.500 [1 per cell]

=====

The following is a DFT calculation (PBE) of crystalline ThZnGa3Ag at its relaxed geometry.

Computed properties:
For the total energy, the calculation gives -20.72 eV per formula unit. As for the calculated volume: 526.26 Å³ per cell. For the calculated formation energy, the calculation gives -0.015 eV/atom.

a = 6.568 Å, b = 11.899 Å, c = 6.734 Å
α = 90.00°, β = 90.00°, γ = 90.00°
Space group Cmcm (No. 63)
Asymmetric unit:
Th 0.000 0.154 0.250 [4 per cell]
Zn 0.000 0.398 0.250 [4 per cell]
Ga 0.000 0.359 0.750 [4 per cell]
Ga 0.238 0.500 0.000 [8 per cell]
Ag 0.000 0.137 0.750 [4 per cell]

=====

The following is a DFT calculation (PBE) of crystalline ThZrGaAg at its relaxed geometry.

Computed properties:
For the total energy, the calculation gives -22.56 eV per formula unit. As for the calculated volume: 368.86 Å³ per cell. For the calculated formation energy, the calculation gives -0.179 eV/atom.

a = 7.172 Å, b = 7.172 Å, c = 7.172 Å
α = 90.00°, β = 90.00°, γ = 90.00°
Space group F-43m (No. 216)
Asymmetric unit:
Th 0.000 0.000 0.000 [4 per cell]
Zr 0.000 0.000 0.500 [4 per cell]
Ga 0.250 0.250 0.250 [4 per cell]
Ag 0.250 0.250 0.750 [4 per cell]

=====

The following is a DFT calculation (PBE) of crystalline Ti2GaAg at its relaxed geometry.

Computed properties:
For the total energy, the calculation gives -20.83 eV per formula unit. As for the calculated volume: 285.20 Å³ per cell. For the calculated formation energy, the calculation gives 0.208 eV/atom.

a = 7.378 Å, b = 7.378 Å, c = 5.239 Å
α = 90.00°, β = 90.00°, γ = 90.00°
Space group I-42d (No. 122)
Asymmetric unit:
Ti 0.243 0.250 0.125 [8 per cell]
Ga 0.000 0.000 0.000 [4 per cell]
Ag 0.000 0.000 0.500 [4 per cell]

=====

The following is a DFT calculation (PBE) of crystalline TiGaAg at its relaxed geometry.

Computed properties:
For the total energy, the calculation gives -14.35 eV per formula unit. As for the calculated volume: 99.64 Å³ per cell. For the calculated formation energy, the calculation gives -0.191 eV/atom.

a = 2.852 Å, b = 4.904 Å, c = 7.588 Å
α = 73.18°, β = 79.19°, γ = 90.00°
Space group P-1 (No. 2)
Asymmetric unit:
Ti 0.073 0.265 0.352 [2 per cell]
Ga 0.411 0.217 0.679 [2 per cell]
Ag 0.250 0.746 0.998 [2 per cell]

=====

The following is a DFT calculation (PBE) of crystalline Ti3GaAg at its relaxed geometry.

Computed properties:
For the total energy, the calculation gives -24.75 eV per formula unit. As for the calculated volume: 112.44 Å³ per cell. For the calculated formation energy, the calculation gives 0.963 eV/atom.

a = 4.827 Å, b = 4.827 Å, c = 4.827 Å
α = 90.00°, β = 90.00°, γ = 90.00°
Space group Pm-3m (No. 221)
Asymmetric unit:
Ti 0.000 0.000 0.500 [3 per cell]
Ga 0.500 0.500 0.500 [1 per cell]
Ag 0.000 0.000 0.000 [1 per cell]